(1)
Density functional theory data (PBE-GGA) for a geometry-optimized PmY2Ge structure.

Output
Energy relative to the elements (eV/atom): -0.319
Total magnetic moment (Bohr magnetons per cell): 0.00

extended XYZ file:
```
4
Lattice="-1.324 3.028 -3.329 1.436 -3.047 -3.342 -4.319 -1.962 -0.067" Properties=species:S:1:pos:R:3 pbc="T T T"
Y -2.160 -0.981 -0.033
Y 0.718 -1.523 -1.671
Ge -0.662 1.514 -1.664
Pm -2.104 -0.991 -3.369
```

=====

(2)
Density functional theory data (PBE-GGA) for a geometry-optimized RbPr2Te6Pb3 structure.

Output
Total magnetic moment (Bohr magnetons per cell): 0.00

extended XYZ file:
```
12
Lattice="-0.792 1.717 -4.183 -3.739 -8.395 -2.738 -7.629 4.272 5.716" Properties=species:S:1:pos:R:3 pbc="T T T"
Rb -0.396 0.858 -2.092
Pr -8.147 -1.214 -1.475
Pr -4.013 -1.193 0.270
Te -8.454 -4.207 -0.126
Te -5.305 -2.380 -2.491
Te -3.706 1.800 -1.078
Te -1.165 -2.204 -0.684
Te -10.994 -0.203 -0.521
Te -6.855 -0.027 1.287
Pb -2.265 -3.339 -3.461
Pb -6.460 3.113 -0.018
Pb -5.700 -5.520 -1.187
```

=====

(3)
Density functional theory data (PBE-GGA) for a geometry-optimized BaWSe2 structure.

Output
Total magnetic moment (Bohr magnetons per cell): 0.00

extended XYZ file:
```
4
Lattice="4.965 0.000 0.000 0.000 4.437 0.002 0.000 -0.005 4.966" Properties=species:S:1:pos:R:3 pbc="T T T"
Ba 2.482 3.323 4.346
Se 0.000 1.105 4.346
Se 2.482 1.108 1.863
W 0.000 1.107 1.863
```

=====

(4)
Density functional theory data (PBE-GGA) for a geometry-optimized TbEr3Cd structure.

Output
Energy relative to the elements (eV/atom): -0.059
Total magnetic moment (Bohr magnetons per cell): 0.00

extended XYZ file:
```
10
Lattice="-0.623 -4.334 3.163 7.569 -3.884 -3.830 0.771 3.727 5.258" Properties=species:S:1:pos:R:3 pbc="T T T"
Tb 7.319 -2.651 0.116
Tb 0.398 -1.840 4.475
Er 1.106 -0.951 1.221
Er 6.611 -3.540 3.370
Er 3.263 -2.883 3.610
Er 4.453 -1.607 0.981
Er 3.150 0.564 3.699
Er 4.567 -5.054 0.892
Cd 1.433 -4.209 1.433
Cd 6.284 -0.282 3.158
```

=====

(5)
Density functional theory data (PBE-GGA) for a geometry-optimized MgCr2In structure.

Output
Energy relative to the elements (eV/atom): 0.610
Total magnetic moment (Bohr magnetons per cell): 1.12

extended XYZ file:
```
4
Lattice="-2.769 -1.308 4.196 2.833 -3.711 -2.278 2.054 -0.016 1.783" Properties=species:S:1:pos:R:3 pbc="T T T"
Cr 0.000 0.000 0.000
Cr 0.032 -2.509 0.959
In -0.358 -0.662 2.989
Mg 2.443 -1.863 -0.248
```

=====

(6)
Density functional theory data (PBE-GGA) for a geometry-optimized YBPt2Rh structure.

Output
Energy relative to the elements (eV/atom): -0.796
Total magnetic moment (Bohr magnetons per cell): 0.00

extended XYZ file:
```
5
Lattice="-2.200 3.713 0.345 -3.673 -2.089 -0.942 -0.625 -0.752 4.105" Properties=species:S:1:pos:R:3 pbc="T T T"
Y -3.249 0.436 1.754
B 0.000 0.000 0.000
Rh -0.313 -0.376 2.052
Pt -1.837 -1.045 -0.471
Pt -1.100 1.856 0.173
```

=====

(7)
Density functional theory data (PBE-GGA) for a geometry-optimized La3ZrGe structure.

Output
Energy relative to the elements (eV/atom): 0.445
Total magnetic moment (Bohr magnetons per cell): 0.00

extended XYZ file:
```
5
Lattice="5.550 0.000 0.000 0.000 5.550 0.000 0.000 0.000 5.550" Properties=species:S:1:pos:R:3 pbc="T T T"
Ge 2.775 2.775 2.775
Zr 0.000 0.000 0.000
La 0.000 2.775 0.000
La 0.000 0.000 2.775
La 2.775 0.000 0.000
```

=====

(8)
Density functional theory data (PBE-GGA) for a geometry-optimized CsSc2RuPt structure.

Output
Energy relative to the elements (eV/atom): 1.772
Total magnetic moment (Bohr magnetons per cell): 0.48

extended XYZ file:
```
5
Lattice="5.135 0.000 0.000 0.000 5.135 0.000 0.000 0.000 4.742" Properties=species:S:1:pos:R:3 pbc="T T T"
Cs 0.000 0.000 0.000
Ru 0.000 0.000 2.371
Sc 0.000 2.568 0.000
Sc 2.568 0.000 0.000
Pt 2.568 2.568 2.371
```

=====

(9)
Density functional theory data (PBE-GGA) for a geometry-optimized Sm2PuGa structure.

Output
Energy relative to the elements (eV/atom): 0.095
Total magnetic moment (Bohr magnetons per cell): 6.30

extended XYZ file:
```
4
Lattice="3.500 0.000 0.000 1.750 3.031 0.000 1.750 1.010 11.266" Properties=species:S:1:pos:R:3 pbc="T T T"
Ga 3.500 2.021 5.633
Sm 1.750 1.010 7.891
Sm 5.250 3.031 3.375
Pu 0.000 0.000 0.000
```

=====

(10)
Density functional theory data (PBE-GGA) for a geometry-optimized TaTi4Ru structure.

Output
Energy relative to the elements (eV/atom): 0.350
Total magnetic moment (Bohr magnetons per cell): 0.00

extended XYZ file:
```
6
Lattice="-1.080 -3.582 -2.141 2.940 -2.050 -2.394 2.468 -5.803 4.123" Properties=species:S:1:pos:R:3 pbc="T T T"
Ta 2.164 -5.718 -0.206
Ti 1.459 -4.221 -2.355
Ti 2.869 -7.215 1.943
Ti 1.797 -4.379 2.079
Ti 2.530 -7.056 -2.491
Ru 0.000 0.000 0.000
```

=====

(11)
Density functional theory data (PBE-GGA) for a geometry-optimized CsTlC structure.

Output
Energy relative to the elements (eV/atom): 1.254
Total magnetic moment (Bohr magnetons per cell): 0.00

extended XYZ file:
```
6
Lattice="-2.690 3.429 0.393 -0.882 -1.164 4.125 8.331 6.134 3.513" Properties=species:S:1:pos:R:3 pbc="T T T"
Cs 1.427 0.793 2.850
Cs 5.118 6.473 2.922
Tl 4.166 3.067 1.756
Tl 2.379 4.199 4.015
C 4.772 3.256 4.261
C 1.773 4.010 1.511
```

=====

(12)
Density functional theory data (PBE-GGA) for a geometry-optimized K3RuRh3O8 structure.

Output
Total magnetic moment (Bohr magnetons per cell): 1.96

extended XYZ file:
```
15
Lattice="-0.490 -4.788 -4.169 -0.338 -1.174 6.253 -5.503 3.138 -2.957" Properties=species:S:1:pos:R:3 pbc="T T T"
K 0.000 0.000 0.000
K -0.169 -0.587 3.126
K -0.414 -2.981 1.042
Ru -2.752 1.569 -1.479
Rh -2.997 -0.825 -3.563
Rh -3.166 -1.412 -0.437
Rh -2.920 0.982 1.648
O -2.151 -0.937 1.330
O -4.181 -1.887 -2.203
O -2.424 -3.348 -0.733
O -3.907 0.524 -0.141
O -2.252 -2.752 -3.909
O -4.080 -0.072 3.036
O -2.003 -0.317 -1.791
O -4.328 -2.507 0.917
```

=====

(13)
Density functional theory data (PBE-GGA) for a geometry-optimized RbFeTcAs2 structure.

Output
Energy relative to the elements (eV/atom): 0.771
Total magnetic moment (Bohr magnetons per cell): 5.83

extended XYZ file:
```
5
Lattice="4.778 0.000 0.000 0.000 5.032 0.000 0.000 0.000 4.778" Properties=species:S:1:pos:R:3 pbc="T T T"
As 0.000 0.000 2.389
As 2.389 0.000 0.000
Tc 0.000 2.516 0.000
Rb 2.389 2.516 2.389
Fe 0.000 0.000 0.000
```

=====

(14)
Density functional theory data (PBE-GGA) for a geometry-optimized MnSb3N structure.

Output
Total magnetic moment (Bohr magnetons per cell): 0.00

extended XYZ file:
```
5
Lattice="-1.308 -3.359 -3.187 1.564 -3.437 2.981 -4.358 -0.226 2.026" Properties=species:S:1:pos:R:3 pbc="T T T"
Sb 0.782 -1.719 1.491
Sb -2.179 -0.113 1.013
Sb -0.654 -1.680 -1.593
Mn 0.000 0.000 0.000
N -2.051 -3.511 0.910
```

=====

(15)
Density functional theory data (PBE-GGA) for a geometry-optimized AcIn2Ir structure.

Output
Energy relative to the elements (eV/atom): -0.310
Total magnetic moment (Bohr magnetons per cell): 0.00

extended XYZ file:
```
4
Lattice="4.595 0.000 0.000 2.297 3.979 0.000 2.297 1.326 5.821" Properties=species:S:1:pos:R:3 pbc="T T T"
Ac 0.000 0.000 0.000
Ir 4.595 2.653 2.910
In 6.893 3.979 3.718
In 2.297 1.326 2.103
```

=====

(16)
Density functional theory data (PBE-GGA) for a geometry-optimized BiIrSCl2 structure.

Output
Total magnetic moment (Bohr magnetons per cell): 0.00

extended XYZ file:
```
5
Lattice="-3.112 3.625 0.239 -2.284 -2.197 3.583 2.810 2.205 3.144" Properties=species:S:1:pos:R:3 pbc="T T T"
S 1.405 1.103 1.572
Ir 0.000 0.000 0.000
Bi -1.293 1.817 3.483
Cl -1.142 -1.099 1.791
Cl -1.556 1.813 0.119
```

=====

(17)
Density functional theory data (PBE-GGA) for a geometry-optimized LaYSb2 structure.

Output
Total magnetic moment (Bohr magnetons per cell): 0.00

extended XYZ file:
```
4
Lattice="7.891 0.005 0.011 -3.392 4.504 -0.002 1.107 1.504 3.364" Properties=species:S:1:pos:R:3 pbc="T T T"
La 2.250 2.254 0.004
Sb 0.000 0.000 0.000
Sb 4.499 0.754 1.687
Y -1.142 3.004 1.681
```

=====

(18)
Density functional theory data (PBE-GGA) for a geometry-optimized Si2AgPt2 structure.

Output
Total magnetic moment (Bohr magnetons per cell): 0.00

extended XYZ file:
```
5
Lattice="3.794 0.000 0.000 0.000 3.794 0.000 1.897 1.897 5.737" Properties=species:S:1:pos:R:3 pbc="T T T"
Si 3.794 1.897 2.869
Si 1.897 3.794 2.869
Ag 0.000 0.000 0.000
Pt 1.897 1.897 1.397
Pt 3.794 3.794 4.341
```

=====

(19)
Density functional theory data (PBE-GGA) for a geometry-optimized Tl2OsBr structure.

Output
Total magnetic moment (Bohr magnetons per cell): 2.29

extended XYZ file:
```
4
Lattice="-0.358 1.862 6.515 3.298 -2.659 5.301 0.758 2.315 -6.334" Properties=species:S:1:pos:R:3 pbc="T T T"
Tl 0.000 0.000 0.000
Tl 2.763 -0.371 2.438
Os 0.936 1.889 3.045
Br 1.470 -0.398 5.908
```

=====

(20)
Density functional theory data (PBE-GGA) for a geometry-optimized U6AgS12 structure.

Output
Total magnetic moment (Bohr magnetons per cell): 10.96

extended XYZ file:
```
19
Lattice="7.988 0.002 0.003 -1.978 7.739 0.003 -1.978 -2.547 7.308" Properties=species:S:1:pos:R:3 pbc="T T T"
U 4.305 1.291 1.817
U 0.183 0.236 4.838
U 0.183 4.490 1.817
U 3.849 4.958 2.476
U -0.273 3.903 5.497
U 3.849 0.703 5.497
Ag 0.000 0.000 0.000
S 5.709 -0.270 3.657
S 4.315 2.860 4.028
S 1.702 2.192 5.944
S 2.331 0.304 3.286
S 2.331 3.002 1.370
S -0.283 2.333 3.286
S -1.677 1.652 6.364
S 2.016 6.409 0.950
S -1.677 5.464 3.657
S 5.709 3.542 0.950
S 2.016 -1.215 6.364
S 1.702 4.889 4.028
```

=====

Number 1: energy -5.893 eV per atom. Number 2: energy -4.206 eV per atom. Number 3: energy -5.918 eV per atom. Number 4: energy -3.905 eV per atom. Number 5: energy -5.285 eV per atom. Number 6: energy -7.311 eV per atom. Number 7: energy -5.145 eV per atom. Number 8: energy -3.994 eV per atom. Number 9: energy -6.604 eV per atom. Number 10: energy -8.435 eV per atom. Number 11: energy -2.894 eV per atom. Number 12: energy -5.985 eV per atom. Number 13: energy -5.048 eV per atom. Number 14: energy -4.726 eV per atom. Number 15: energy -4.922 eV per atom. Number 16: energy -3.956 eV per atom. Number 17: energy -5.856 eV per atom. Number 18: energy -5.555 eV per atom. Number 19: energy -3.431 eV per atom. Number 20: energy -7.448 eV per atom.